# Ti4H2N3 GGA-PBE relaxed
data_Ti4H2N3
_cell_length_a 2.9505
_cell_length_b 5.2209
_cell_length_c 6.2614
_cell_angle_alpha 80.36
_cell_angle_beta 76.37
_cell_angle_gamma 73.59
_space_group_name_H-M_alt 'P 1'
_space_group_IT_number 1
loop_
_space_group_symop_operation_xyz
'x,y,z'
loop_
_atom_site_label
_atom_site_fract_x
_atom_site_fract_y
_atom_site_fract_z
_atom_site_occupancy
N1 0.0000 0.0000 0.0000 1
N2 0.1785 0.4274 0.2156 1
N3 0.8215 0.5726 0.7844 1
Ti1 0.2264 0.8441 0.7030 1
Ti2 0.5975 0.6973 0.1076 1
Ti3 0.4025 0.3027 0.8924 1
Ti4 0.7736 0.1559 0.2970 1
H1 0.6399 0.0990 0.6211 1
H2 0.3601 0.9010 0.3789 1
# Symmetry   C2/m, No. 12
# DOS at the Fermi energy   0.41 states/eV per atom
# Raw total energy   -8.265 eV per atom
# Total magnetization   0.00 Bohr magnetons per cell


# PuTl2Ag GGA-PBE relaxed
data_PuTl2Ag
_cell_length_a 5.2164
_cell_length_b 5.2164
_cell_length_c 5.2164
_cell_angle_alpha 60.00
_cell_angle_beta 60.00
_cell_angle_gamma 60.00
_space_group_name_H-M_alt 'P 1'
_space_group_IT_number 1
loop_
_space_group_symop_operation_xyz
'x,y,z'
loop_
_atom_site_label
_atom_site_fract_x
_atom_site_fract_y
_atom_site_fract_z
_atom_site_occupancy
Tl1 0.7500 0.7500 0.7500 1
Tl2 0.2500 0.2500 0.2500 1
Pu1 0.5000 0.5000 0.5000 1
Ag1 0.0000 0.0000 0.0000 1
# E above lowest polymorph   0 meV per atom
# Symmetry   Fm-3m, No. 225
# DOS at the Fermi energy   3.37 states/eV per atom
# Raw total energy   -5.435 eV per atom
# Formation enthalpy at 0 K   0.0438 eV per atom
# Total magnetization   5.64 Bohr magnetons per cell


# LiDy5Cd4 GGA-PBE relaxed
data_LiDy5Cd4
_cell_length_a 3.7400
_cell_length_b 3.7400
_cell_length_c 18.6618
_cell_angle_alpha 90.00
_cell_angle_beta 90.00
_cell_angle_gamma 90.00
_space_group_name_H-M_alt 'P 1'
_space_group_IT_number 1
loop_
_space_group_symop_operation_xyz
'x,y,z'
loop_
_atom_site_label
_atom_site_fract_x
_atom_site_fract_y
_atom_site_fract_z
_atom_site_occupancy
Dy1 0.5000 0.5000 0.7007 1
Dy2 0.5000 0.5000 0.5000 1
Dy3 0.5000 0.5000 0.8998 1
Dy4 0.5000 0.5000 0.1002 1
Dy5 0.5000 0.5000 0.2993 1
Cd1 0.0000 0.0000 0.1979 1
Cd2 0.0000 0.0000 0.3993 1
Cd3 0.0000 0.0000 0.8021 1
Cd4 0.0000 0.0000 0.6007 1
Li1 0.0000 0.0000 0.0000 1
# Symmetry   P4/mmm, No. 123
# DOS at the Fermi energy   1.27 states/eV per atom
# Raw total energy   -3.086 eV per atom
# Formation enthalpy at 0 K   -0.2273 eV per atom
# Total magnetization   0.01 Bohr magnetons per cell


# CaAc2Pd3 GGA-PBE relaxed
data_CaAc2Pd3
_cell_length_a 6.1294
_cell_length_b 8.6988
_cell_length_c 7.4867
_cell_angle_alpha 106.83
_cell_angle_beta 114.16
_cell_angle_gamma 90.00
_space_group_name_H-M_alt 'P 1'
_space_group_IT_number 1
loop_
_space_group_symop_operation_xyz
'x,y,z'
loop_
_atom_site_label
_atom_site_fract_x
_atom_site_fract_y
_atom_site_fract_z
_atom_site_occupancy
Pd1 0.8369 0.4186 0.6739 1
Pd2 0.8370 0.9186 0.6739 1
Pd3 0.4997 0.7500 0.0000 1
Pd4 0.1630 0.0814 0.3261 1
Pd5 0.5003 0.2500 0.0000 1
Pd6 0.1631 0.5814 0.3261 1
Ac1 0.6672 0.0838 0.3345 1
Ac2 0.3327 0.4162 0.6655 1
Ac3 0.6673 0.5838 0.3345 1
Ac4 0.3328 0.9162 0.6655 1
Ca1 0.0003 0.2500 0.0000 1
Ca2 0.9997 0.7500 0.0000 1
# E above lowest polymorph   49 meV per atom
# Symmetry   C2/m, No. 12
# DOS at the Fermi energy   0.58 states/eV per atom
# Raw total energy   -4.992 eV per atom
# Formation enthalpy at 0 K   -0.6926 eV per atom
# Total magnetization   0.00 Bohr magnetons per cell


# KVSi GGA-PBE relaxed
data_KVSi
_cell_length_a 11.7119
_cell_length_b 4.5273
_cell_length_c 6.5297
_cell_angle_alpha 90.00
_cell_angle_beta 100.48
_cell_angle_gamma 90.00
_space_group_name_H-M_alt 'P 1'
_space_group_IT_number 1
loop_
_space_group_symop_operation_xyz
'x,y,z'
loop_
_atom_site_label
_atom_site_fract_x
_atom_site_fract_y
_atom_site_fract_z
_atom_site_occupancy
V1 0.1873 0.0000 0.5520 1
V2 0.1873 0.5000 0.0520 1
V3 0.0604 0.0000 0.2598 1
V4 0.0604 0.5000 0.7598 1
Si1 0.9813 0.0000 0.6141 1
Si2 0.9813 0.5000 0.1141 1
Si3 0.1477 0.0000 0.9086 1
Si4 0.1477 0.5000 0.4086 1
K1 0.7853 0.0000 0.9114 1
K2 0.7853 0.5000 0.4114 1
K3 0.4200 0.5000 0.7552 1
K4 0.4200 0.0000 0.2552 1
# E above lowest polymorph   140 meV per atom
# Energy relative to the elements, uncorrected   0.16 eV/atom
# Symmetry   Cm, No. 8
# DOS at the Fermi energy   0.82 states/eV per atom
# Raw total energy   -5.054 eV per atom
# Total magnetization   0.00 Bohr magnetons per cell


# SrMn2Re GGA-PBE relaxed
data_SrMn2Re
_cell_length_a 3.1249
_cell_length_b 3.1248
_cell_length_c 7.8155
_cell_angle_alpha 90.00
_cell_angle_beta 90.00
_cell_angle_gamma 90.00
_space_group_name_H-M_alt 'P 1'
_space_group_IT_number 1
loop_
_space_group_symop_operation_xyz
'x,y,z'
loop_
_atom_site_label
_atom_site_fract_x
_atom_site_fract_y
_atom_site_fract_z
_atom_site_occupancy
Mn1 0.0000 0.0000 0.4274 1
Mn2 0.0000 0.0000 0.0726 1
Re1 0.5000 0.5000 0.2500 1
Sr1 0.5000 0.5000 0.7500 1
# E above lowest polymorph   0 meV per atom
# Symmetry   P4/mmm, No. 123
# DOS at the Fermi energy   1.37 states/eV per atom
# Raw total energy   -7.562 eV per atom
# Formation enthalpy at 0 K   0.5549 eV per atom
# Total magnetization   5.63 Bohr magnetons per cell


# TaSiP2 GGA-PBE relaxed
data_TaSiP2
_cell_length_a 3.2010
_cell_length_b 3.3307
_cell_length_c 5.9513
_cell_angle_alpha 71.09
_cell_angle_beta 90.00
_cell_angle_gamma 90.00
_space_group_name_H-M_alt 'P 1'
_space_group_IT_number 1
loop_
_space_group_symop_operation_xyz
'x,y,z'
loop_
_atom_site_label
_atom_site_fract_x
_atom_site_fract_y
_atom_site_fract_z
_atom_site_occupancy
Si1 0.5000 0.2500 0.2500 1
P1 0.0000 0.3851 0.5107 1
P2 0.0000 0.1149 0.9893 1
Ta1 0.5000 0.7500 0.7500 1
# Energy relative to the elements, uncorrected   -0.19 eV/atom
# Symmetry   P2/m, No. 10
# DOS at the Fermi energy   0.39 states/eV per atom
# Raw total energy   -7.214 eV per atom
# Total magnetization   0.00 Bohr magnetons per cell


# K2MgRhF6 GGA-PBE relaxed
data_K2MgRhF6
_cell_length_a 5.9791
_cell_length_b 5.9811
_cell_length_c 8.1295
_cell_angle_alpha 90.00
_cell_angle_beta 90.00
_cell_angle_gamma 90.00
_space_group_name_H-M_alt 'P 1'
_space_group_IT_number 1
loop_
_space_group_symop_operation_xyz
'x,y,z'
loop_
_atom_site_label
_atom_site_fract_x
_atom_site_fract_y
_atom_site_fract_z
_atom_site_occupancy
K1 0.0000 0.2500 0.7500 1
K2 0.5000 0.7500 0.7500 1
K3 0.0000 0.2500 0.2500 1
K4 0.5000 0.7500 0.2500 1
F1 0.7645 0.5144 0.5000 1
F2 0.2644 0.0147 0.0000 1
F3 0.5000 0.2500 0.2496 1
F4 0.2355 0.5144 0.5000 1
F5 0.7355 0.4856 0.0000 1
F6 0.7644 0.9853 0.5000 1
F7 0.7356 0.0147 0.0000 1
F8 0.5000 0.2500 0.7504 1
F9 0.2645 0.4856 0.0000 1
F10 0.0000 0.7500 0.2504 1
F11 0.2356 0.9853 0.5000 1
F12 0.0000 0.7500 0.7496 1
Rh1 0.0000 0.7501 0.0000 1
Rh2 0.5000 0.2499 0.5000 1
Mg1 0.5000 0.2501 0.0000 1
Mg2 0.0000 0.7499 0.5000 1
# Energy relative to the elements, uncorrected   -2.52 eV/atom
# Symmetry   I4/mmm, No. 139
# DOS at the Fermi energy   0.16 states/eV per atom
# Raw total energy   -4.759 eV per atom
# Total magnetization   2.00 Bohr magnetons per cell


# YAgSb2 GGA-PBE relaxed
data_YAgSb2
_cell_length_a 5.7496
_cell_length_b 5.7496
_cell_length_c 5.7496
_cell_angle_alpha 133.07
_cell_angle_beta 133.37
_cell_angle_gamma 68.31
_space_group_name_H-M_alt 'P 1'
_space_group_IT_number 1
loop_
_space_group_symop_operation_xyz
'x,y,z'
loop_
_atom_site_label
_atom_site_fract_x
_atom_site_fract_y
_atom_site_fract_z
_atom_site_occupancy
Ag1 0.2500 0.7500 0.5000 1
Sb1 0.9995 0.9995 0.0000 1
Sb2 0.5005 0.5005 0.0000 1
Y1 0.7500 0.2500 0.5000 1
# Energy relative to the elements, uncorrected   -0.38 eV/atom
# Symmetry   Immm, No. 71
# DOS at the Fermi energy   0.63 states/eV per atom
# Raw total energy   -4.771 eV per atom
# Total magnetization   0.00 Bohr magnetons per cell


# PmZn4Ag GGA-PBE relaxed
data_PmZn4Ag
_cell_length_a 5.3735
_cell_length_b 5.3735
_cell_length_c 5.3735
_cell_angle_alpha 60.00
_cell_angle_beta 60.00
_cell_angle_gamma 60.00
_space_group_name_H-M_alt 'P 1'
_space_group_IT_number 1
loop_
_space_group_symop_operation_xyz
'x,y,z'
loop_
_atom_site_label
_atom_site_fract_x
_atom_site_fract_y
_atom_site_fract_z
_atom_site_occupancy
Zn1 0.1250 0.6250 0.6250 1
Zn2 0.6250 0.1250 0.6250 1
Zn3 0.6250 0.6250 0.6250 1
Zn4 0.6250 0.6250 0.1250 1
Pm1 0.2500 0.2500 0.2500 1
Ag1 0.0000 0.0000 0.0000 1
# E above lowest polymorph   78 meV per atom
# Symmetry   F-43m, No. 216
# DOS at the Fermi energy   0.75 states/eV per atom
# Raw total energy   -2.288 eV per atom
# Formation enthalpy at 0 K   -0.1716 eV per atom
# Total magnetization   0.00 Bohr magnetons per cell


# LiNd4Ru2 GGA-PBE relaxed
data_LiNd4Ru2
_cell_length_a 5.0421
_cell_length_b 5.0421
_cell_length_c 8.5371
_cell_angle_alpha 72.82
_cell_angle_beta 72.82
_cell_angle_gamma 60.00
_space_group_name_H-M_alt 'P 1'
_space_group_IT_number 1
loop_
_space_group_symop_operation_xyz
'x,y,z'
loop_
_atom_site_label
_atom_site_fract_x
_atom_site_fract_y
_atom_site_fract_z
_atom_site_occupancy
Ru1 0.7473 0.7473 0.7581 1
Ru2 0.2527 0.2527 0.2419 1
Nd1 0.6206 0.6206 0.1382 1
Nd2 0.8711 0.8711 0.3868 1
Nd3 0.3794 0.3794 0.8618 1
Nd4 0.1289 0.1289 0.6132 1
Li1 0.0000 0.0000 0.0000 1
# E above lowest polymorph   0 meV per atom
# Symmetry   R-3m, No. 166
# DOS at the Fermi energy   0.40 states/eV per atom
# Raw total energy   -5.802 eV per atom
# Formation enthalpy at 0 K   -0.1544 eV per atom
# Total magnetization   0.00 Bohr magnetons per cell


# Ho3TlS GGA-PBE relaxed
data_Ho3TlS
_cell_length_a 3.9089
_cell_length_b 8.9726
_cell_length_c 14.7208
_cell_angle_alpha 90.00
_cell_angle_beta 90.00
_cell_angle_gamma 90.00
_space_group_name_H-M_alt 'P 1'
_space_group_IT_number 1
loop_
_space_group_symop_operation_xyz
'x,y,z'
loop_
_atom_site_label
_atom_site_fract_x
_atom_site_fract_y
_atom_site_fract_z
_atom_site_occupancy
Ho1 0.2500 0.6666 0.9884 1
Ho2 0.7500 0.7097 0.2169 1
Ho3 0.7500 0.2097 0.2831 1
Ho4 0.2500 0.2903 0.7831 1
Ho5 0.2500 0.0300 0.1109 1
Ho6 0.7500 0.9700 0.8891 1
Ho7 0.7500 0.8334 0.4884 1
Ho8 0.7500 0.3334 0.0116 1
Ho9 0.7500 0.4700 0.6109 1
Ho10 0.2500 0.1666 0.5116 1
Ho11 0.2500 0.7903 0.7169 1
Ho12 0.2500 0.5300 0.3891 1
S1 0.2500 0.6594 0.5549 1
S2 0.7500 0.8406 0.0549 1
S3 0.2500 0.1594 0.9451 1
S4 0.7500 0.3406 0.4451 1
Tl1 0.7500 0.0663 0.6722 1
Tl2 0.2500 0.4337 0.1722 1
Tl3 0.7500 0.5663 0.8278 1
Tl4 0.2500 0.9337 0.3278 1
# E above lowest polymorph   0 meV per atom
# Energy relative to the elements, uncorrected   -0.97 eV/atom
# Symmetry   Pnma, No. 62
# DOS at the Fermi energy   0.71 states/eV per atom
# Raw total energy   -5.017 eV per atom
# Total magnetization   2.30 Bohr magnetons per cell


Number 7 is which compound?
TaSiP2